Entry 1:
Below is a relaxed Os5Ru crystal, with properties calculated at the PBEsol level.

Cell: 4.7164 4.7164 4.3047 Å, 90.00 90.00 120.00°
Space group P-62m (No. 189)
Unique sites:
Os: 0.0000 0.3326 0.0000
Os: 0.3333 0.6667 0.5000
Ru: 0.0000 0.0000 0.5000

Values from the calculation:
**Spin magnetization**: 0.000 μB/atom
**ΔE_f**: -0.01 eV/atom
**Calculated volume**: 13.821 Å³ per atom
**Energy above the most stable polymorph in this dataset**: 0 meV/atom
**Density**: 21.1 g/cm3


Entry 2:
Below is a relaxed OsRu5 crystal, with properties calculated at the PBEsol level.

Cell: 4.6686 4.6686 4.2583 Å, 90.00 90.00 120.00°
Space group P-62m (No. 189)
Unique sites:
Os: 0.0000 0.0000 0.0000
Ru: 0.0000 0.6664 0.5000
Ru: 0.3333 0.6667 0.0000

Values from the calculation:
**Spin magnetization**: 0.000 μB/atom
**ΔE_f**: -0.01 eV/atom
**Calculated volume**: 13.396 Å³ per atom
**Energy above the most stable polymorph in this dataset**: 0 meV/atom
**Density**: 14.4 g/cm3


Entry 3:
Below is a relaxed Os3Ru crystal, with properties calculated at the PBEsol level.

Cell: 2.719 8.601 4.710 Å, 90.00 90.00 90.00°
Space group Imm2 (No. 44)
Unique sites:
Os: 0.000 0.000 0.000
Os: 0.000 0.251 0.332
Ru: 0.000 0.500 0.999

Values from the calculation:
**Spin magnetization**: 0.000 μB/atom
**ΔE_f**: -0.01 eV/atom
**Calculated volume**: 13.767 Å³ per atom
**Density**: 20.3 g/cm3


Entry 4:
Below is a relaxed Os3Ru crystal, with properties calculated at the PBEsol level.

Cell: 5.415 13.083 4.682 Å, 90.00 90.00 90.00°
Space group Pmmn (No. 59, origin choice 2)
Unique sites:
Os: 0.000 0.087 0.169
Os: 0.000 0.250 0.502
Os: 0.250 0.086 0.669
Os: 0.250 0.750 0.999
Ru: 0.250 0.250 0.000
Ru: 0.250 0.587 0.333

Values from the calculation:
**Spin magnetization**: 0.000 μB/atom
**ΔE_f**: 0.08 eV/atom
**Calculated volume**: 13.821 Å³ per atom
**Density**: 20.2 g/cm3


Entry 5:
Below is a relaxed Os3Ru crystal, with properties calculated at the PBEsol level.

Cell: 2.721 4.298 4.715 Å, 90.00 90.00 90.00°
Space group Pmm2 (No. 25)
Unique sites:
Os: 0.000 0.000 0.000
Os: 0.000 0.500 0.333
Os: 0.500 0.000 0.504
Ru: 0.500 0.500 0.837

Values from the calculation:
**Spin magnetization**: 0.000 μB/atom
**ΔE_f**: -0.01 eV/atom
**Calculated volume**: 13.788 Å³ per atom
**Density**: 20.2 g/cm3


Entry 6:
Below is a relaxed Os3Ru crystal, with properties calculated at the PBEsol level.

Cell: 2.7181 2.7181 8.6081 Å, 90.00 90.00 120.00°
Space group P-6m2 (No. 187)
Unique sites:
Os: 0.0000 0.0000 0.0000
Os: 0.3333 0.6667 0.2507
Ru: 0.0000 0.0000 0.5000

Values from the calculation:
**Spin magnetization**: 0.000 μB/atom
**ΔE_f**: 0.00 eV/atom
**Calculated volume**: 13.770 Å³ per atom
**Density**: 20.3 g/cm3


Entry 7:
Below is a relaxed Os3RuS crystal, with properties calculated at the PBEsol level.

Cell: 4.597 4.597 4.597 Å, 90.00 90.00 90.00°
Space group Pm-3m (No. 221)
Unique sites:
Os: 0.000 0.000 0.500
Ru: 0.000 0.000 0.000
S: 0.500 0.500 0.500

Values from the calculation:
**Spin magnetization**: 0.001 μB/atom
**Calculated volume**: 19.427 Å³ per atom
**Density**: 12.0 g/cm3
**ΔE_f (raw)**: 63.60 kcal/mol of atoms


Entry 8:
Below is a relaxed SbOs2Ru crystal, with properties calculated at the PBEsol level.

Cell: 2.997 4.446 9.237 Å, 90.00 90.00 90.00°
Space group Immm (No. 71)
Unique sites:
Sb: 0.000 0.000 0.000
Os: 0.000 0.500 0.274
Ru: 0.000 0.000 0.500

Values from the calculation:
**Spin magnetization**: 0.000 μB/atom
**Calculated volume**: 15.383 Å³ per atom
**Density**: 16.3 g/cm3
**ΔE_f (raw)**: 13.49 kcal/mol of atoms


no.,E_tot (eV per atom)
1,-11.883
2,-10.520
3,-11.712
4,-11.624
5,-11.714
6,-11.708
7,-7.483
8,-9.205